Record 1
# NiPb GGA-PBE optimized geometry
data_NiPb
_chemical_formula_sum 'Ni6 Pb6'
_symmetry_space_group_name_H-M 'C 1 m 1'
_symmetry_Int_Tables_number 8
_cell_length_a 8.831
_cell_length_b 3.505
_cell_length_c 8.084
_cell_angle_alpha 90.00
_cell_angle_beta 97.44
_cell_angle_gamma 90.00
loop_
_symmetry_equiv_pos_as_xyz
'x,y,z'
'x,-y,z'
'x+1/2,y+1/2,z'
'x+1/2,-y+1/2,z'
loop_
_atom_site_label
_atom_site_fract_x
_atom_site_fract_y
_atom_site_fract_z
Ni1 0.000 0.000 0.000
Ni2 0.081 0.000 0.700
Ni3 0.394 0.000 0.786
Pb1 0.208 0.500 0.943
Pb2 0.279 0.500 0.542
Pb3 0.480 0.000 0.259
# - energy of formation (meV/atom) = 198
# - V (Å³ per cell) = 248.1
# - DFT total energy (eV per cell) = -54.560

Record 2
# NaMg2H4 GGA-PBE optimized geometry
data_NaMg2H4
_chemical_formula_sum 'Na4 Mg8 H16'
_symmetry_space_group_name_H-M 'C 1 m 1'
_symmetry_Int_Tables_number 8
_cell_length_a 10.204
_cell_length_b 5.888
_cell_length_c 7.547
_cell_angle_alpha 90.00
_cell_angle_beta 116.76
_cell_angle_gamma 90.00
loop_
_symmetry_equiv_pos_as_xyz
'x,y,z'
'x,-y,z'
'x+1/2,y+1/2,z'
'x+1/2,-y+1/2,z'
loop_
_atom_site_label
_atom_site_fract_x
_atom_site_fract_y
_atom_site_fract_z
Na1 0.000 0.000 0.000
Na2 0.227 0.000 0.682
Mg1 0.078 0.500 0.735
Mg2 0.113 0.500 0.335
Mg3 0.361 0.252 0.335
H1 0.074 0.292 0.517
H2 0.154 0.256 0.207
H3 0.336 0.500 0.509
H4 0.367 0.000 0.517
H5 0.393 0.000 0.179
H6 0.398 0.500 0.207
# - V (Å³ per cell) = 404.9
# - excess energy over the best structure of this formula in the dataset (kJ/mol of atoms) = 0.0
# - DFT total energy (eV per cell) = -74.225

Record 3
# LaRe2As GGA-PBE optimized geometry
data_LaRe2As
_chemical_formula_sum 'La2 Re4 As2'
_symmetry_space_group_name_H-M 'C m m m'
_symmetry_Int_Tables_number 65
_symmetry_space_group_name_Hall '-C 2 2'
_cell_length_a 5.759
_cell_length_b 8.152
_cell_length_c 3.243
_cell_angle_alpha 90.00
_cell_angle_beta 90.00
_cell_angle_gamma 90.00
loop_
_atom_site_label
_atom_site_fract_x
_atom_site_fract_y
_atom_site_fract_z
La1 0.000 0.000 0.000
Re1 0.250 0.250 0.500
As1 0.000 0.500 0.000
# - energy of formation (meV/atom) = 861
# - V (Å³ per cell) = 152.2
# - DFT total energy (eV per cell) = -62.059

Record 4
# Re3Sb GGA-PBE optimized geometry
data_Re3Sb
_chemical_formula_sum 'Re12 Sb4'
_symmetry_space_group_name_H-M 'F m -3 m'
_symmetry_Int_Tables_number 225
_symmetry_space_group_name_Hall '-F 4 2 3'
_cell_length_a 6.386
_cell_length_b 6.386
_cell_length_c 6.386
_cell_angle_alpha 90.00
_cell_angle_beta 90.00
_cell_angle_gamma 90.00
loop_
_atom_site_label
_atom_site_fract_x
_atom_site_fract_y
_atom_site_fract_z
Re1 0.000 0.000 0.000
Re2 0.250 0.250 0.250
Sb1 0.000 0.000 0.500
# - V (Å³ per cell) = 260.5
# - excess energy over the best structure of this formula in the dataset (kJ/mol of atoms) = 21.7
# - raw formation energy (eV/atom) = 0.64
# - DFT total energy (eV per cell) = -155.588

Question: What is the V in the first record?
Answer: 248.1 Å³ per cell

Please write out number 2 again, unchanged.
# NaMg2H4 GGA-PBE optimized geometry
data_NaMg2H4
_chemical_formula_sum 'Na4 Mg8 H16'
_symmetry_space_group_name_H-M 'C 1 m 1'
_symmetry_Int_Tables_number 8
_cell_length_a 10.204
_cell_length_b 5.888
_cell_length_c 7.547
_cell_angle_alpha 90.00
_cell_angle_beta 116.76
_cell_angle_gamma 90.00
loop_
_symmetry_equiv_pos_as_xyz
'x,y,z'
'x,-y,z'
'x+1/2,y+1/2,z'
'x+1/2,-y+1/2,z'
loop_
_atom_site_label
_atom_site_fract_x
_atom_site_fract_y
_atom_site_fract_z
Na1 0.000 0.000 0.000
Na2 0.227 0.000 0.682
Mg1 0.078 0.500 0.735
Mg2 0.113 0.500 0.335
Mg3 0.361 0.252 0.335
H1 0.074 0.292 0.517
H2 0.154 0.256 0.207
H3 0.336 0.500 0.509
H4 0.367 0.000 0.517
H5 0.393 0.000 0.179
H6 0.398 0.500 0.207
# - V (Å³ per cell) = 404.9
# - excess energy over the best structure of this formula in the dataset (kJ/mol of atoms) = 0.0
# - DFT total energy (eV per cell) = -74.225

Question: Which of these has the lowest V?
Answer: LaRe2As

Question: Which value of V does entry 3 give?
Answer: 152.2 Å³ per cell